Sm5Y2HoSc: relaxed, PBE.

Lattice parameters (Å, degrees): 5.3431 21.8747 10.1231 90.00 90.00 90.00
Space group Cmc2_1 (No. 36)
Inequivalent atoms, fractional coordinates:
Sm 0.0000 0.9999 0.0000 (multiplicity 4)
Sm 0.0000 0.1253 0.2502 (multiplicity 4)
Sm 0.0000 0.2213 0.5635 (multiplicity 4)
Sm 0.0000 0.2208 0.9380 (multiplicity 4)
Sm 0.0000 0.4989 0.7501 (multiplicity 4)
Y 0.0000 0.3834 0.0005 (multiplicity 4)
Y 0.0000 0.3839 0.4997 (multiplicity 4)
Ho 0.0000 0.1009 0.7501 (multiplicity 4)
Sc 0.0000 0.2838 0.2507 (multiplicity 4)

## Properties
Formation enthalpy at 0 K ... 127 meV/atom
ρ ... 6.40 g/cm3
DOS(E_F) ... 1.492 states/eV/atom
Raw total energy ... -185.14 eV per cell